This record from the Alexandria database describes an optimized crystal structure of BaCePa2S8. The functional is PBE.

Geometry as POSCAR:
```
BaCePa2S8
1.0
-5.996 0.006 2.372
2.122 -0.053 6.018
0.033 8.484 0.061
Pa S Ba Ce
2 8 1 1
Direct
0.500 0.500 0.247 Pa
0.500 0.500 0.753 Pa
0.835 0.259 0.781 S
0.654 0.716 0.000 S
0.616 0.715 0.500 S
0.835 0.260 0.219 S
0.165 0.741 0.219 S
0.346 0.284 0.000 S
0.384 0.285 0.500 S
0.165 0.740 0.781 S
0.000 0.000 0.500 Ba
0.000 0.000 0.000 Ce
```

Values from the calculation:
The value obtained for the formation energy (no corrections) is -1.610 eV/atom. Its space group is P2/m (10). The total moment is 0.000 μB per cell.